MgNi2Sn2 | PBE-GGA | relaxed

- Offset from the most stable computed form: 0.0000 eV/atom
- Volume: 178 Å³/cell
- Calculated formation energy: -274 meV per atom

Unit cell a=4.320 b=4.440 c=9.265 alpha=90.00 beta=90.00 gamma=90.00
Positions (direct):
Mg: 0.250 0.250 0.170
Mg: 0.750 0.750 0.830
Ni: 0.250 0.750 0.010
Ni: 0.250 0.750 0.333
Ni: 0.750 0.250 0.667
Ni: 0.750 0.250 0.990
Sn: 0.250 0.250 0.492
Sn: 0.250 0.250 0.835
Sn: 0.750 0.750 0.165
Sn: 0.750 0.750 0.508